DFT (PBE) results for a relaxed structure of SnMo3Ru.

Lattice parameters (Å, degrees): 4.877 4.877 4.877 90.00 90.00 90.00
Sites, in units of the cell vectors:
Sn (0.000, 0.000, 0.000)
Ru (0.500, 0.500, 0.500)
Mo (0.500, 0.000, 0.000)
Mo (0.000, 0.000, 0.500)
Mo (0.000, 0.500, 0.000)

Values from the calculation:
total magnetic moment = 0.0 μB per formula unit
mass density = 7268 kg/m3
energy = -6.5849 eV per atom
N(E_F) = 7.40 states/eV/cell

DFT (PBE) results for a relaxed structure of KAl2Bi2.

Lattice parameters (Å, degrees): 8.989 8.989 3.654 90.00 90.00 90.00
Sites, in units of the cell vectors:
Al (0.365, 0.135, 0.500)
Al (0.635, 0.865, 0.500)
Al (0.135, 0.635, 0.500)
Al (0.865, 0.365, 0.500)
K (0.500, 0.500, 0.000)
K (0.000, 0.000, 0.000)
Bi (0.150, 0.350, 0.000)
Bi (0.850, 0.650, 0.000)
Bi (0.650, 0.150, 0.000)
Bi (0.350, 0.850, 0.000)

Values from the calculation:
total magnetic moment = 0.0 μB per formula unit
mass density = 5748 kg/m3
energy = -3.1557 eV per atom
N(E_F) = 4.96 states/eV/cell

DFT (PBE) results for a relaxed structure of Rb3Tl2InI6.

Lattice parameters (Å, degrees): 5.158 10.289 11.518 102.87 102.94 90.00
Sites, in units of the cell vectors:
Rb (0.500, 0.500, 0.000)
Rb (0.167, 0.833, 0.334)
Rb (0.833, 0.167, 0.666)
Tl (0.834, 0.668, 0.668)
Tl (0.166, 0.332, 0.332)
In (0.500, 0.000, 0.000)
I (0.663, 0.088, 0.326)
I (0.998, 0.759, 0.996)
I (0.331, 0.424, 0.661)
I (0.002, 0.241, 0.004)
I (0.669, 0.576, 0.339)
I (0.337, 0.912, 0.674)

Values from the calculation:
uncorrected formation energy = -1.04 eV/atom
total magnetic moment = 0.0 μB per formula unit
mass density = 4414 kg/m3
N(E_F) = 0.00 states/eV/cell

DFT (PBE) results for a relaxed structure of ThSc2In.

Lattice parameters (Å, degrees): 3.415 3.415 10.479 80.62 80.62 60.00
Sites, in units of the cell vectors:
Sc (0.253, 0.253, 0.240)
Sc (0.747, 0.747, 0.760)
Th (0.500, 0.500, 0.500)
In (0.000, 0.000, 0.000)

Values from the calculation:
total magnetic moment = 0.0 μB per formula unit
mass density = 6977 kg/m3
energy = -5.8410 eV per atom
N(E_F) = 4.07 states/eV/cell

DFT (PBE) results for a relaxed structure of PmPrNdSe3.

Lattice parameters (Å, degrees): 4.088 7.384 10.995 102.43 90.00 90.00
Sites, in units of the cell vectors:
Nd (0.750, 0.879, 0.374)
Nd (0.250, 0.121, 0.626)
Se (0.750, 0.061, 0.163)
Se (0.750, 0.542, 0.171)
Se (0.250, 0.939, 0.837)
Se (0.250, 0.706, 0.506)
Se (0.250, 0.458, 0.829)
Se (0.750, 0.294, 0.494)
Pm (0.250, 0.339, 0.302)
Pm (0.750, 0.661, 0.698)
Pr (0.250, 0.765, 0.057)
Pr (0.750, 0.235, 0.943)

Values from the calculation:
uncorrected formation energy = -1.75 eV/atom
total magnetic moment = 0.0 μB per formula unit
mass density = 6834 kg/m3
N(E_F) = 6.29 states/eV/cell

DFT (PBE) results for a relaxed structure of PuZnPtRh.

Lattice parameters (Å, degrees): 4.649 4.649 4.649 60.00 60.00 60.00
Site moments in Bohr magnetons follow the coordinates.
Sites, in units of the cell vectors:
Pu (0.000, 0.000, 0.000)  4.83
Pt (0.250, 0.250, 0.250)  -0.09
Zn (0.500, 0.500, 0.500)  0.00
Rh (0.750, 0.750, 0.750)  -0.26

Values from the calculation:
total magnetic moment = 4.6 μB per formula unit
mass density = 14200 kg/m3
energy = -7.7581 eV per atom
N(E_F) = 6.58 states/eV/cell